Below is CdInRh2 at its PBEsol-relaxed geometry, with properties calculated at the SCAN level.

abc: 3.1695 3.1695 6.3594
angles: 90.00 90.00 90.00
Closest atoms and distances in Å follow each position.
Space group P4/mmm (No. 123)
Unique sites:
Cd 0.0000 0.0000 0.0000  8 Rh 2.77
In 0.0000 0.0000 0.5000  8 Rh 2.72
Rh 0.5000 0.5000 0.2568  4 In 2.72, 4 Cd 2.77

V: 64 Å³/cell
Relative energy among the computed polymorphs: 6 meV per atom
Total magnetic moment: 0.00 μB/f.u.
E_form: -326 meV per atom


Below is CdInRh2 at its PBEsol-relaxed geometry, with properties calculated at the SCAN level.

abc: 3.9619 3.9619 8.2357
angles: 90.00 90.00 90.00
Closest atoms and distances in Å follow each position.
Space group I-4m2 (No. 119)
Unique sites:
Cd 0.0000 0.0000 0.0000  8 Rh 2.80-2.86, 4 In 2.86
In 0.0000 0.5000 0.2500  8 Rh 2.80-2.86, 4 Cd 2.86
Rh 0.0000 0.0000 0.5000  4 Cd 2.80, 4 In 2.86, 4 Rh 2.86
Rh 0.0000 0.5000 0.7500  4 In 2.80, 4 Cd 2.86, 4 Rh 2.86

V: 129 Å³/cell
Relative energy among the computed polymorphs: 250 meV per atom
Total magnetic moment: 0.00 μB/f.u.
E_form: -82 meV per atom


Below is CdInRh3 at its PBEsol-relaxed geometry, with properties calculated at the SCAN level.

abc: 4.7576 4.7576 4.7576
angles: 90.00 90.00 90.00
Closest atoms and distances in Å follow each position.
Space group Pm-3m (No. 221)
Unique sites:
Cd 0.0000 0.0000 0.0000  6 Rh 2.38
In 0.5000 0.5000 0.5000  12 Rh 3.36
Rh 0.0000 0.0000 0.5000  2 Cd 2.38

V: 108 Å³/cell
Total magnetic moment: 1.98 μB/f.u.
E_form: 1370 meV per atom


Below is CdInRh2 at its PBEsol-relaxed geometry, with properties calculated at the SCAN level.

abc: 6.3421 6.3421 6.3421
angles: 90.00 90.00 90.00
Closest atoms and distances in Å follow each position.
Space group Fm-3m (No. 225)
Unique sites:
Cd 0.0000 0.0000 0.0000  8 Rh 2.75
In 0.0000 0.0000 0.5000  8 Rh 2.75
Rh 0.2500 0.2500 0.2500  4 Cd 2.75, 4 In 2.75

V: 255 Å³/cell
Relative energy among the computed polymorphs: 0 meV per atom
Total magnetic moment: 0.00 μB/f.u.
E_form: -331 meV per atom